1.
## Nd8Al2Ga (PBE)

Data for an optimized crystal structure of Nd8Al2Ga.

a = 5.192 Å, b = 7.315 Å, c = 9.618 Å
α = 109.10°, β = 105.66°, γ = 90.00°
Element x y z (fractional)
Al (0.179, 0.707, 0.357)
Al (0.821, 0.293, 0.643)
Nd (0.013, 0.767, 0.027)
Nd (0.594, 0.457, 0.188)
Nd (0.987, 0.233, 0.973)
Nd (0.340, 0.047, 0.680)
Nd (0.406, 0.543, 0.812)
Nd (0.796, 0.702, 0.593)
Nd (0.204, 0.298, 0.407)
Nd (0.660, 0.953, 0.320)
Ga (0.500, 0.000, 0.000)

final energy: -50.906 eV per cell
space group: C2/m

2.
## Nd3Al2Ga3 (PBE)

Data for an optimized crystal structure of Nd3Al2Ga3.

a = 4.428 Å, b = 6.068 Å, c = 14.901 Å
α = 90.00°, β = 90.00°, γ = 111.40°
Site moments in Bohr magnetons follow the coordinates.
Element x y z (fractional)
Nd (0.926, 0.852, 0.113)  0.08
Nd (0.639, 0.278, 0.250)  0.13
Nd (0.074, 0.148, 0.887)  0.08
Nd (0.926, 0.852, 0.387)  0.08
Nd (0.074, 0.148, 0.613)  0.08
Nd (0.361, 0.722, 0.750)  0.13
Al (0.781, 0.561, 0.903)  0.00
Al (0.781, 0.561, 0.597)  0.00
Al (0.219, 0.439, 0.403)  0.00
Al (0.219, 0.439, 0.097)  0.00
Ga (0.652, 0.303, 0.750)  0.01
Ga (0.348, 0.697, 0.250)  0.01
Ga (0.383, 0.765, 0.539)  0.00
Ga (0.383, 0.765, 0.961)  0.00
Ga (0.617, 0.235, 0.461)  0.00
Ga (0.617, 0.235, 0.039)  0.00

final energy: -70.957 eV per cell
space group: Cmcm

In kJ/mol of atoms, the E_form values for the records above are, in order, -20 -56.
In meV per atom, the offset from the most stable computed form values for the records above are, in order, 0 0.